# 1
A plane-wave DFT calculation with PBE-GGA was carried out for an optimized crystal structure of Li2Cd8Pd.

Lattice parameters (Å, degrees): 15.0805 4.6318 7.1154 90.00 118.05 90.00
Space group C2/m (No. 12)
Inequivalent atoms, fractional coordinates:
Li: 0.1978 0.0000 0.1941 [4 per cell]
Cd: 0.0017 0.0000 0.2050 [4 per cell]
Cd: 0.1435 0.5000 0.9333 [4 per cell]
Cd: 0.1471 0.5000 0.3610 [4 per cell]
Cd: 0.1571 0.0000 0.6601 [4 per cell]
Pd: 0.0000 0.5000 0.5000 [2 per cell]

Summary:
ΔH_f (0 K), meV per atom: -185
Calculated volume, Å³/cell: 438.64

# 2
A plane-wave DFT calculation with PBE-GGA was carried out for an optimized crystal structure of Li5Cd2Pd5.

Lattice parameters (Å, degrees): 12.2988 3.8815 8.8401 90.00 118.70 90.00
Space group C2/m (No. 12)
Inequivalent atoms, fractional coordinates:
Li: 0.0000 0.0000 0.0000 [2 per cell]
Li: 0.0830 0.0000 0.7669 [4 per cell]
Li: 0.2433 0.0000 0.2291 [4 per cell]
Cd: 0.1614 0.0000 0.5046 [4 per cell]
Pd: 0.0000 0.5000 0.5000 [2 per cell]
Pd: 0.0824 0.5000 0.2410 [4 per cell]
Pd: 0.1688 0.5000 0.0030 [4 per cell]

Summary:
ΔH_f (0 K), meV per atom: -394
Calculated volume, Å³/cell: 370.16

# 3
A plane-wave DFT calculation with PBE-GGA was carried out for an optimized crystal structure of LiCd2Pd3.

Lattice parameters (Å, degrees): 3.0718 3.0718 10.2879 90.00 90.00 90.00
Space group P4/mmm (No. 123)
Inequivalent atoms, fractional coordinates:
Li: 0.0000 0.0000 0.0000 [1 per cell]
Cd: 0.0000 0.0000 0.3195 [2 per cell]
Pd: 0.5000 0.5000 0.1426 [2 per cell]
Pd: 0.5000 0.5000 0.5000 [1 per cell]

Summary:
ΔH_f (0 K), meV per atom: -414
Calculated volume, Å³/cell: 97.07

# 4
A plane-wave DFT calculation with PBE-GGA was carried out for an optimized crystal structure of LiCd4Pd2.

Lattice parameters (Å, degrees): 6.8823 5.6483 7.6648 90.00 115.86 90.00
Space group P2_1/m (No. 11)
Inequivalent atoms, fractional coordinates:
Li: 0.2225 0.2500 0.1428 [2 per cell]
Cd: 0.0356 0.7500 0.2408 [2 per cell]
Cd: 0.0654 0.2500 0.4098 [2 per cell]
Cd: 0.3944 0.9996 0.7702 [4 per cell]
Pd: 0.2169 0.7500 0.9860 [2 per cell]
Pd: 0.4757 0.7500 0.4783 [2 per cell]

Summary:
ΔH_f (0 K), meV per atom: -222
Calculated volume, Å³/cell: 268.12

# 5
A plane-wave DFT calculation with PBE-GGA was carried out for an optimized crystal structure of LiCd2Pd3.

Lattice parameters (Å, degrees): 4.3945 6.7449 6.9604 90.00 108.01 90.00
Space group P2/m (No. 10)
Inequivalent atoms, fractional coordinates:
Li: 0.1648 0.0000 0.3296 [2 per cell]
Cd: 0.1673 0.5000 0.3340 [2 per cell]
Cd: 0.5000 0.0000 0.0000 [1 per cell]
Cd: 0.5000 0.5000 0.0000 [1 per cell]
Pd: 0.0000 0.2429 0.0000 [2 per cell]
Pd: 0.3277 0.2309 0.6564 [4 per cell]

Summary:
ΔH_f (0 K), meV per atom: -418
Calculated volume, Å³/cell: 196.20

# 6
A plane-wave DFT calculation with PBE-GGA was carried out for an optimized crystal structure of Li4Cd7Pd.

Lattice parameters (Å, degrees): 5.4248 5.7413 7.7736 106.80 93.06 91.93
Space group P-1 (No. 2)
Inequivalent atoms, fractional coordinates:
Li: 0.1457 0.3546 0.2761 [2 per cell]
Li: 0.2870 0.8751 0.2566 [2 per cell]
Cd: 0.1711 0.2499 0.6307 [2 per cell]
Cd: 0.2388 0.0043 0.9300 [2 per cell]
Cd: 0.3557 0.7275 0.5721 [2 per cell]
Cd: 0.5000 0.5000 0.0000 [1 per cell]
Pd: 0.0000 0.5000 0.0000 [1 per cell]

Summary:
ΔH_f (0 K), meV per atom: -215
Calculated volume, Å³/cell: 231.15

# 7
A plane-wave DFT calculation with PBE-GGA was carried out for an optimized crystal structure of Li5Cd2Pd2.

Lattice parameters (Å, degrees): 21.4043 5.6168 5.1609 90.00 90.00 90.00
Space group Ima2 (No. 46)
Inequivalent atoms, fractional coordinates:
Li: 0.1248 0.1869 0.0000 [8 per cell]
Li: 0.1474 0.6766 0.8849 [8 per cell]
Li: 0.2500 0.5822 0.2195 [4 per cell]
Cd: 0.0000 0.0000 0.1948 [4 per cell]
Cd: 0.2500 0.1010 0.2143 [4 per cell]
Pd: 0.0605 0.5714 0.1891 [8 per cell]

Summary:
ΔH_f (0 K), meV per atom: -189
Calculated volume, Å³/cell: 620.46

# 8
A plane-wave DFT calculation with PBE-GGA was carried out for an optimized crystal structure of Li4Cd5Pd3.

Lattice parameters (Å, degrees): 3.0246 5.7115 12.4297 86.20 84.03 75.77
Space group P-1 (No. 2)
Inequivalent atoms, fractional coordinates:
Li: 0.1354 0.1882 0.0345 [2 per cell]
Li: 0.1546 0.7493 0.3369 [2 per cell]
Cd: 0.0166 0.7146 0.6861 [2 per cell]
Cd: 0.4116 0.5660 0.1273 [2 per cell]
Cd: 0.5000 0.0000 0.5000 [1 per cell]
Pd: 0.3301 0.0202 0.8178 [2 per cell]
Pd: 0.5000 0.5000 0.5000 [1 per cell]

Summary:
ΔH_f (0 K), meV per atom: -314
Calculated volume, Å³/cell: 206.82

# 9
A plane-wave DFT calculation with PBE-GGA was carried out for an optimized crystal structure of Li2Cd5Pd5.

Lattice parameters (Å, degrees): 12.5485 3.9449 9.3120 90.00 117.01 90.00
Space group C2/m (No. 12)
Inequivalent atoms, fractional coordinates:
Li: 0.0797 0.0000 0.2621 [4 per cell]
Cd: 0.0000 0.0000 0.5000 [2 per cell]
Cd: 0.1553 0.0000 0.9920 [4 per cell]
Cd: 0.2428 0.5000 0.2622 [4 per cell]
Pd: 0.0000 0.5000 0.0000 [2 per cell]
Pd: 0.0876 0.5000 0.7512 [4 per cell]
Pd: 0.1628 0.5000 0.4969 [4 per cell]

Summary:
ΔH_f (0 K), meV per atom: -373
Calculated volume, Å³/cell: 410.67

# 10
A plane-wave DFT calculation with PBE-GGA was carried out for an optimized crystal structure of Li7CdPd2.

Lattice parameters (Å, degrees): 5.0184 23.2456 2.7987 90.00 90.00 90.00
Space group Cmmm (No. 65)
Inequivalent atoms, fractional coordinates:
Li: 0.0000 0.0000 0.0000 [2 per cell]
Li: 0.0000 0.2903 0.5000 [4 per cell]
Li: 0.2487 0.3962 0.0000 [8 per cell]
Cd: 0.0000 0.5000 0.5000 [2 per cell]
Pd: 0.0000 0.1958 0.0000 [4 per cell]

Summary:
ΔH_f (0 K), meV per atom: -183
Calculated volume, Å³/cell: 326.49

# 11
A plane-wave DFT calculation with PBE-GGA was carried out for an optimized crystal structure of LiCd2Pd5.

Lattice parameters (Å, degrees): 5.7688 5.7688 7.7694 90.00 90.00 90.00
Space group I4/mmm (No. 139)
Inequivalent atoms, fractional coordinates:
Li: 0.0000 0.0000 0.0000 [2 per cell]
Cd: 0.0000 0.5000 0.0000 [4 per cell]
Pd: 0.0000 0.0000 0.5000 [2 per cell]
Pd: 0.2500 0.2500 0.2500 [8 per cell]

Summary:
ΔH_f (0 K), meV per atom: -355
Calculated volume, Å³/cell: 258.56

# 12
A plane-wave DFT calculation with PBE-GGA was carried out for an optimized crystal structure of Li9Cd2Pd.

Lattice parameters (Å, degrees): 13.1166 4.3873 8.4584 90.00 120.49 90.00
Space group C2/m (No. 12)
Inequivalent atoms, fractional coordinates:
Li: 0.0000 0.0000 0.0000 [2 per cell]
Li: 0.0724 0.0000 0.7274 [4 per cell]
Li: 0.1581 0.0000 0.4989 [4 per cell]
Li: 0.1610 0.5000 0.9944 [4 per cell]
Li: 0.2388 0.5000 0.7292 [4 per cell]
Cd: 0.0891 0.5000 0.2590 [4 per cell]
Pd: 0.0000 0.5000 0.5000 [2 per cell]

Summary:
ΔH_f (0 K), meV per atom: -199
Calculated volume, Å³/cell: 419.45

# 13
A plane-wave DFT calculation with PBE-GGA was carried out for an optimized crystal structure of Li2CdPd7.

Lattice parameters (Å, degrees): 7.2189 11.5002 4.2705 90.00 90.00 90.00
Space group Cmmm (No. 65)
Inequivalent atoms, fractional coordinates:
Li: 0.0000 0.1978 0.0000 [4 per cell]
Cd: 0.0000 0.5000 0.5000 [2 per cell]
Pd: 0.0000 0.0000 0.0000 [2 per cell]
Pd: 0.0000 0.2602 0.5000 [4 per cell]
Pd: 0.1893 0.3775 0.0000 [8 per cell]

Summary:
ΔH_f (0 K), meV per atom: 217
Calculated volume, Å³/cell: 354.53

# 14
A plane-wave DFT calculation with PBE-GGA was carried out for an optimized crystal structure of Li3Cd3Pd5.

Lattice parameters (Å, degrees): 8.6082 8.6082 2.9097 90.00 90.00 120.00
Space group P-62m (No. 189)
Inequivalent atoms, fractional coordinates:
Li: 0.0000 0.1655 0.0000 [3 per cell]
Cd: 0.0000 0.4166 0.5000 [3 per cell]
Pd: 0.0000 0.6846 0.0000 [3 per cell]
Pd: 0.3333 0.6667 0.0000 [2 per cell]

Summary:
ΔH_f (0 K), meV per atom: -60
Calculated volume, Å³/cell: 186.73

# 15
A plane-wave DFT calculation with PBE-GGA was carried out for an optimized crystal structure of LiCd5Pd4.

Lattice parameters (Å, degrees): 3.3024 3.3024 16.0841 90.00 90.00 90.00
Space group P4/mmm (No. 123)
Inequivalent atoms, fractional coordinates:
Li: 0.0000 0.0000 0.0000 [1 per cell]
Cd: 0.5000 0.5000 0.0990 [2 per cell]
Cd: 0.5000 0.5000 0.3000 [2 per cell]
Cd: 0.5000 0.5000 0.5000 [1 per cell]
Pd: 0.0000 0.0000 0.1999 [2 per cell]
Pd: 0.0000 0.0000 0.4004 [2 per cell]

Summary:
ΔH_f (0 K), meV per atom: -376
Calculated volume, Å³/cell: 175.41

# 16
A plane-wave DFT calculation with PBE-GGA was carried out for an optimized crystal structure of Li2CdPd4.

Lattice parameters (Å, degrees): 4.9335 4.9335 12.7823 90.00 90.00 90.00
Space group I4/mmm (No. 139)
Inequivalent atoms, fractional coordinates:
Li: 0.0000 0.0000 0.1060 [4 per cell]
Cd: 0.0000 0.0000 0.5000 [2 per cell]
Pd: 0.0000 0.0000 0.2978 [4 per cell]
Pd: 0.0000 0.5000 0.0000 [4 per cell]

Summary:
ΔH_f (0 K), meV per atom: 469
Calculated volume, Å³/cell: 311.12

# 17
A plane-wave DFT calculation with PBE-GGA was carried out for an optimized crystal structure of Li6CdPd3.

Lattice parameters (Å, degrees): 6.9699 11.1949 4.2514 90.00 90.00 90.00
Space group Pnnm (No. 58)
Inequivalent atoms, fractional coordinates:
Li: 0.0120 0.1266 0.0000 [4 per cell]
Li: 0.1932 0.6432 0.0000 [4 per cell]
Li: 0.1961 0.3601 0.0000 [4 per cell]
Cd: 0.0000 0.5000 0.5000 [2 per cell]
Pd: 0.0000 0.0000 0.5000 [2 per cell]
Pd: 0.0008 0.7401 0.5000 [4 per cell]

Summary:
ΔH_f (0 K), meV per atom: -316
Calculated volume, Å³/cell: 331.73

# 18
A plane-wave DFT calculation with PBE-GGA was carried out for an optimized crystal structure of LiCd3Pd.

Lattice parameters (Å, degrees): 7.0089 8.0833 7.7168 90.00 116.52 90.00
Space group C2/m (No. 12)
Inequivalent atoms, fractional coordinates:
Li: 0.1713 0.0000 0.4275 [4 per cell]
Cd: 0.0692 0.3139 0.7051 [8 per cell]
Cd: 0.2284 0.5000 0.1162 [4 per cell]
Pd: 0.0000 0.1776 0.0000 [4 per cell]

Summary:
ΔH_f (0 K), meV per atom: -244
Calculated volume, Å³/cell: 391.19

# 19
A plane-wave DFT calculation with PBE-GGA was carried out for an optimized crystal structure of Li2Cd3Pd8.

Lattice parameters (Å, degrees): 5.3022 5.3022 28.1435 90.00 90.00 120.00
Space group R-3m (No. 166, hexagonal axes)
Inequivalent atoms, fractional coordinates:
Li: 0.0000 0.0000 0.1427 [6 per cell]
Cd: 0.0000 0.0000 0.3197 [6 per cell]
Cd: 0.0000 0.0000 0.5000 [3 per cell]
Pd: 0.0000 0.0000 0.2256 [6 per cell]
Pd: 0.0005 0.5003 0.2614 [18 per cell]

Summary:
ΔH_f (0 K), meV per atom: -151
Calculated volume, Å³/cell: 685.20

# 20
A plane-wave DFT calculation with PBE-GGA was carried out for an optimized crystal structure of Li4Cd3Pd2.

Lattice parameters (Å, degrees): 12.5460 4.1541 6.2127 90.00 109.28 90.00
Space group C2/m (No. 12)
Inequivalent atoms, fractional coordinates:
Li: 0.0529 0.0000 0.3194 [4 per cell]
Li: 0.2224 0.5000 0.3000 [4 per cell]
Cd: 0.0000 0.5000 0.0000 [2 per cell]
Cd: 0.1208 0.5000 0.6657 [4 per cell]
Pd: 0.1624 0.0000 0.9997 [4 per cell]

Summary:
ΔH_f (0 K), meV per atom: -343
Calculated volume, Å³/cell: 305.63